Compound: Ta2NiRh
Source: the Alexandria database
Functional: PBE-GGA
Structure: relaxed

Output
ρ	14.0	Mg/m³
N(E_F)	3.2	states/eV/f.u.
energy relative to the elements	-0.266	eV per atom
energy	-9.48	eV/atom

a = 4.8007 Å, b = 4.8007 Å, c = 4.8059 Å
α = 78.88°, β = 78.88°, γ = 34.80°
Positions (direct):
Ni 0.5029 0.5029 0.5281
Rh 0.2404 0.2404 0.2344
Ta 0.9957 0.9957 0.0337
Ta 0.7610 0.7610 0.7038